Entry 1:
## CuHg3As2Br3 (PBE)

Data for a relaxed structure of CuHg3As2Br3.

Values from the calculation:
SG: No. 15
E, eV per formula unit: -21.24

Lattice parameters (Å, degrees): 9.5222 13.5445 14.1464 98.58 109.67 110.58
Closest atoms and distances in Å follow each position.
Element x y z (fractional)
As1 0.1399 0.0134 0.5523  1 As 2.43, 3 Hg 2.57-2.60
Hg1 0.8424 0.1721 0.5024  2 As 2.59-2.60
Hg2 0.1265 0.5887 0.2508  2 As 2.59-2.60
Br1 0.8726 0.1928 0.0849  1 Cu 2.40
Hg3 0.0000 0.0000 0.0000  2 As 2.56
Hg4 0.1611 0.3355 0.9986  2 As 2.57-2.58
Cu1 0.6328 0.0437 0.7071  4 Br 2.38-2.64
Cu2 0.8601 0.2500 0.2500  4 Br 2.40-2.65
Br2 0.6188 0.5116 0.7542  1 Cu 2.39
Br3 0.8530 0.9884 0.7458  1 Cu 2.39
Br4 0.5945 0.0958 0.2501  2 Cu 2.64-2.65
Br5 0.1431 0.2865 0.7388  1 Cu 2.38
Hg5 0.6730 0.8355 0.4986  2 As 2.57-2.58
Hg6 0.0000 0.5000 0.5000  2 As 2.59
Hg7 0.7869 0.9113 0.2492  2 As 2.59-2.60
Hg8 0.3321 0.6721 0.0024  2 As 2.59-2.60
Br6 0.1274 0.8072 0.9151  1 Cu 2.40
As2 0.5960 0.8506 0.0504  1 As 2.46, 3 Hg 2.59
Br7 0.1470 0.0116 0.2542  1 Cu 2.39
As3 0.5159 0.3156 0.4512  1 As 2.46, 3 Hg 2.56-2.59
Hg9 0.6679 0.3279 0.9976  2 As 2.59-2.60
As4 0.8050 0.3506 0.5504  1 As 2.46, 3 Hg 2.59
As5 0.8601 0.9866 0.4477  1 As 2.43, 3 Hg 2.57-2.60
Br8 0.6178 0.2135 0.7612  1 Cu 2.38
Hg10 0.3270 0.1645 0.5014  2 As 2.57-2.58
As6 0.4841 0.6844 0.5488  1 As 2.46, 3 Hg 2.56-2.59
Br9 0.0949 0.3072 0.4151  1 Cu 2.40
Br10 0.3812 0.4884 0.2458  1 Cu 2.39
As7 0.0742 0.4866 0.9477  1 As 2.43, 3 Hg 2.57-2.60
Br11 0.2514 0.5958 0.7501  2 Cu 2.64-2.65
Br12 0.9051 0.6928 0.5849  1 Cu 2.40
Hg11 0.5736 0.7500 0.7500  2 As 2.59
Hg12 0.4264 0.2500 0.2500  2 As 2.59
Hg13 0.2131 0.0887 0.7508  2 As 2.59-2.60
Br13 0.8569 0.7135 0.2612  1 Cu 2.38
Cu3 0.1399 0.7500 0.7500  4 Br 2.40-2.65
Br14 0.5000 0.5000 0.0000  2 Cu 2.64
Br15 0.3822 0.7865 0.2388  1 Cu 2.38
Br16 0.5000 0.0000 0.5000  2 Cu 2.64
Cu4 0.3820 0.4563 0.7929  4 Br 2.38-2.64
As8 0.1950 0.6494 0.4496  1 As 2.46, 3 Hg 2.59
Cu5 0.6180 0.5437 0.2071  4 Br 2.38-2.64
Hg14 0.8389 0.6645 0.0014  2 As 2.57-2.58
As9 0.7509 0.8156 0.9512  1 As 2.46, 3 Hg 2.56-2.59
Br17 0.4055 0.9042 0.7499  2 Cu 2.64-2.65
As10 0.2491 0.1844 0.0488  1 As 2.46, 3 Hg 2.56-2.59
Cu6 0.3672 0.9563 0.2929  4 Br 2.38-2.64
Hg15 0.8735 0.4113 0.7492  2 As 2.59-2.60
As11 0.4040 0.1494 0.9496  1 As 2.46, 3 Hg 2.59
Hg16 0.5000 0.5000 0.5000  2 As 2.56
Hg17 0.5000 0.0000 0.0000  2 As 2.59
As12 0.9258 0.5134 0.0523  1 As 2.43, 3 Hg 2.57-2.60
Br18 0.7486 0.4042 0.2499  2 Cu 2.64-2.65
Hg18 0.1576 0.8279 0.4976  2 As 2.59-2.60


Entry 2:
## Ho2GaNiBr2 (PBE)

Data for a relaxed structure of Ho2GaNiBr2.

Values from the calculation:
SG: No. 156
E, eV per formula unit: -28.13
Total moment, μB/cell: 0.01

Lattice parameters (Å, degrees): 4.0802 4.0802 11.2831 90.00 90.00 120.00
Closest atoms and distances in Å follow each position.
Element x y z (fractional)
Ga1 0.3333 0.6667 0.5032  3 Ni 2.36
Br1 0.3333 0.6667 0.1728  3 Ho 3.00
Ni1 0.6667 0.3333 0.4965  3 Ga 2.36
Ho1 0.0000 0.0000 0.3369  3 Ni 2.97, 3 Br 3.00, 3 Ga 3.01
Br2 0.6667 0.3333 0.8266  3 Ho 2.99
Ho2 0.0000 0.0000 0.6640  3 Ga 2.97, 3 Br 2.99, 3 Ni 3.02


Entry 3:
## Dy2Tm3Ga3 (PBE)

Data for a relaxed structure of Dy2Tm3Ga3.

Values from the calculation:
SG: No. 187
Polymorph energy (0 for the lowest one), meV/atom: 136
Total moment, μB/cell: 0.01

Lattice parameters (Å, degrees): 6.8552 6.8552 4.9080 90.00 90.00 120.00
Closest atoms and distances in Å follow each position.
Element x y z (fractional)
Dy1 0.0000 0.0000 0.0000  6 Tm 3.23, 6 Ga 3.43
Tm1 0.8233 0.1767 0.5000  4 Ga 3.05, 2 Tm 3.22, 2 Dy 3.23
Ga1 0.5189 0.4811 0.0000  2 Ga 3.04, 4 Tm 3.05, 2 Dy 3.30
Tm2 0.3533 0.1767 0.5000  4 Ga 3.05, 2 Tm 3.22, 2 Dy 3.23
Ga2 0.9622 0.4811 0.0000  2 Ga 3.04, 4 Tm 3.05, 2 Dy 3.30
Ga3 0.5189 0.0378 0.0000  2 Ga 3.04, 4 Tm 3.05, 2 Dy 3.30
Tm3 0.8233 0.6467 0.5000  4 Ga 3.05, 2 Tm 3.22, 2 Dy 3.23
Dy2 0.3333 0.6667 0.5000  6 Ga 3.30, 6 Tm 3.43


Entry 4:
## Tm2GaAgS4 (PBE)

Data for a relaxed structure of Tm2GaAgS4.

Values from the calculation:
SG: No. 31
E, eV per formula unit: -40.43
Total moment, μB/cell: 0.00

Lattice parameters (Å, degrees): 8.6377 7.7431 6.8457 90.00 90.00 90.00
Closest atoms and distances in Å follow each position.
Element x y z (fractional)
Tm1 0.2478 0.3339 0.9944  4 S 2.56-2.59
Tm2 0.2522 0.6661 0.4944  4 S 2.56-2.59
Ga1 0.0000 0.1634 0.5021  4 S 2.85-2.95
S1 0.2656 0.3547 0.6208  2 Tm 2.56-2.57, 1 Ag 2.62, 1 Ga 2.85
Ga2 0.5000 0.8366 0.0021  4 S 2.85-2.95
S2 0.2344 0.6453 0.1208  2 Tm 2.56-2.57, 1 Ag 2.62, 1 Ga 2.85
S3 0.5000 0.8421 0.5714  2 Tm 2.59, 1 Ag 2.60
Tm3 0.7522 0.3339 0.9944  4 S 2.56-2.59
Ag1 0.5000 0.1711 0.4936  4 S 2.59-2.62
S4 0.5000 0.1949 0.1155  2 Tm 2.57, 1 Ag 2.59
S5 0.7344 0.3547 0.6208  2 Tm 2.56-2.57, 1 Ag 2.62, 1 Ga 2.85
Ag2 0.0000 0.8289 0.9936  4 S 2.59-2.62
S6 0.0000 0.1579 0.0714  2 Tm 2.59, 1 Ag 2.60
S7 0.7656 0.6453 0.1208  2 Tm 2.56-2.57, 1 Ag 2.62, 1 Ga 2.85
Tm4 0.7478 0.6661 0.4944  4 S 2.56-2.59
S8 0.0000 0.8051 0.6155  2 Tm 2.57, 1 Ag 2.59